A plane-wave DFT calculation with GGA-PBE was carried out for an optimized crystal structure of BaZnIO2.

ρ = 5.486 g/cm³
Crystal system = tetragonal
Distance to the lowest polymorph of the same formula = 0.000 eV/atom
Uncorrected formation energy = -842 meV/atom
Total DFT energy (no corrections) = -3.77 eV/atom
Symmetry = P4/mmm, No. 123

Cell: 4.5538 4.5538 5.2782 Å, 90.00 90.00 90.00°
Element x y z (fractional)
Ba1 0.0000 0.0000 0.0000
Zn1 0.5000 0.5000 0.5000
I1 0.5000 0.5000 0.0000
O1 0.0000 0.5000 0.5000
O2 0.5000 0.0000 0.5000